(1)
Computed, not measured: crystalline GaSnAu at its relaxed geometry at the GGA-PBE level of DFT. Values from VASP.

Structure (Quantum ESPRESSO input):
```
&SYSTEM
  ibrav = 0, nat = 6, ntyp = 3
/
ATOMIC_SPECIES
Ga 69.72 Ga.upf
Au 196.97 Au.upf
Sn 118.71 Sn.upf
CELL_PARAMETERS angstrom
4.3165 -0.0999 -0.0835
3.8199 4.8516 -0.1950
-1.3453 2.0849 6.2793
ATOMIC_POSITIONS angstrom
Ga 3.7908 2.5722 4.4398
Au 4.0348 5.0771 3.4317
Sn 4.5998 3.5741 1.0862
Ga 1.8346 4.4954 4.9479
Au 1.5890 1.9898 5.9552
Sn 2.3686 1.4067 2.0217
```

- E_form: -12.3 kJ/mol of atoms
- Final energy: -3.564 eV per atom

***

(2)
Computed, not measured: crystalline KRbO at its relaxed geometry at the GGA-PBE level of DFT. Values from VASP.

Structure (Quantum ESPRESSO input):
```
&SYSTEM
  ibrav = 0, nat = 6, ntyp = 3
/
ATOMIC_SPECIES
O 16.00 O.upf
Rb 85.47 Rb.upf
K 39.10 K.upf
CELL_PARAMETERS angstrom
4.7816 0.0000 0.0000
0.0000 4.7816 0.0000
0.0000 0.0000 6.7305
ATOMIC_POSITIONS angstrom
O 0.0000 2.3908 1.5633
Rb 0.0000 0.0000 0.0000
Rb 2.3908 2.3908 0.0000
K 2.3908 0.0000 2.7063
K 0.0000 2.3908 4.0242
O 2.3908 0.0000 5.1671
```

- Formation energy (no corrections): -2.614 eV/f.u.
- Final energy: -3.213 eV per atom

***

(3)
Computed, not measured: crystalline Pr3SmHo6 at its relaxed geometry at the GGA-PBE level of DFT. Values from VASP.

Structure (Quantum ESPRESSO input):
```
&SYSTEM
  ibrav = 0, nat = 10, ntyp = 3
/
ATOMIC_SPECIES
Pr 140.91 Pr.upf
Ho 164.93 Ho.upf
Sm 150.36 Sm.upf
CELL_PARAMETERS angstrom
6.1095 0.0000 -2.4797
-1.3047 9.1124 -3.2145
-0.8791 -0.4224 6.6004
ATOMIC_POSITIONS angstrom
Pr -0.6053 6.3121 -1.4914
Ho 1.9512 2.6892 0.3572
Ho 1.4801 0.4133 3.6467
Ho 4.9592 2.6892 -0.8637
Ho 2.4457 8.2767 -2.7405
Ho 1.9746 6.0008 0.5490
Ho -1.0334 6.0008 1.7699
Pr 0.0000 0.0000 0.0000
Sm 2.4024 4.5562 -2.8471
Pr 4.5311 2.3779 2.3976
```

- E_form: 21.9 kJ/mol of atoms
- Final energy: -4.425 eV per atom

***

(4)
Computed, not measured: crystalline FeB2PdPb at its relaxed geometry at the GGA-PBE level of DFT. Values from VASP.

Structure (Quantum ESPRESSO input):
```
&SYSTEM
  ibrav = 0, nat = 5, ntyp = 4
/
ATOMIC_SPECIES
Pd 106.42 Pd.upf
B 10.81 B.upf
Pb 207.20 Pb.upf
Fe 55.84 Fe.upf
CELL_PARAMETERS angstrom
-0.8107 3.1048 2.2060
-1.0462 -3.0396 3.8935
3.7222 0.1681 1.1314
ATOMIC_POSITIONS angstrom
Pd 0.9326 0.1166 3.6155
B -0.4054 1.5524 1.1030
Pb -0.5231 -1.5198 1.9468
B 1.8611 0.0840 0.5657
Fe 0.0000 0.0000 0.0000
```

- E_form: 80.6 kJ/mol of atoms
- Final energy: -5.309 eV per atom

***

(5)
Computed, not measured: crystalline BaCa2Zn3 at its relaxed geometry at the GGA-PBE level of DFT. Values from VASP.

Structure (Quantum ESPRESSO input):
```
&SYSTEM
  ibrav = 0, nat = 6, ntyp = 3
/
ATOMIC_SPECIES
Ca 40.08 Ca.upf
Zn 65.41 Zn.upf
Ba 137.33 Ba.upf
CELL_PARAMETERS angstrom
3.8290 0.0000 0.0000
0.0000 3.8290 0.0000
0.0000 0.0000 11.3762
ATOMIC_POSITIONS angstrom
Ca 1.9145 1.9145 1.7599
Ca 1.9145 1.9145 9.6163
Zn 0.0000 0.0000 0.0000
Zn 0.0000 0.0000 3.4189
Zn 0.0000 0.0000 7.9573
Ba 1.9145 1.9145 5.6881
```

- E_form: -18.5 kJ/mol of atoms
- Final energy: -1.817 eV per atom

***

(6)
Computed, not measured: crystalline LaIn2Rh at its relaxed geometry at the GGA-PBE level of DFT. Values from VASP.

Structure (Quantum ESPRESSO input):
```
&SYSTEM
  ibrav = 0, nat = 4, ntyp = 3
/
ATOMIC_SPECIES
Rh 102.91 Rh.upf
In 114.82 In.upf
La 138.91 La.upf
CELL_PARAMETERS angstrom
-1.5410 5.7976 -1.2608
-2.4867 2.9851 -4.7415
-5.2023 3.0635 -1.0620
ATOMIC_POSITIONS angstrom
Rh -4.6150 5.9232 -3.5322
In -1.9928 2.5577 -1.5253
In -7.2371 9.2886 -5.5391
La 0.0000 0.0000 0.0000
```

- E_form: -43.3 kJ/mol of atoms
- Final energy: -4.888 eV per atom

***

(7)
Computed, not measured: crystalline Sr2DyRe3O12 at its relaxed geometry at the GGA-PBE level of DFT. Values from VASP.

Structure (Quantum ESPRESSO input):
```
&SYSTEM
  ibrav = 0, nat = 18, ntyp = 4
/
ATOMIC_SPECIES
O 16.00 O.upf
Re 186.21 Re.upf
Sr 87.62 Sr.upf
Dy 162.50 Dy.upf
CELL_PARAMETERS angstrom
-4.3610 1.1675 -5.0636
-3.4150 -5.5167 -1.9813
-6.5000 -0.0244 1.9419
ATOMIC_POSITIONS angstrom
O -9.4023 -3.7770 -5.3050
O -8.1726 0.2726 -2.4489
Re -3.2500 -0.0122 0.9710
O -3.8989 -0.0534 -2.9911
O -6.6910 -0.4950 -4.5684
Sr -8.8906 -2.7238 -3.1780
O -10.8084 -1.2737 -3.5168
O -4.8738 -0.5966 0.2020
O -7.5851 -3.8786 -0.5346
O -10.3772 -4.3203 -2.1119
Re -1.7075 -2.7583 -0.9906
O -3.4677 -3.1000 -1.5862
Sr -5.3855 -1.6499 -1.9250
O -8.0195 -1.2353 -0.2175
O -6.1035 -4.6463 -2.6541
Dy 0.0000 0.0000 0.0000
O -6.2566 -3.1384 -4.8855
Re -2.1805 0.5837 -2.5318
```

- Formation energy (no corrections): -37.386 eV/f.u.
- Final energy: -7.900 eV per atom

***

(8)
Computed, not measured: crystalline Y2Si4GePt3 at its relaxed geometry at the GGA-PBE level of DFT. Values from VASP.

Structure (Quantum ESPRESSO input):
```
&SYSTEM
  ibrav = 0, nat = 10, ntyp = 4
/
ATOMIC_SPECIES
Pt 195.08 Pt.upf
Si 28.09 Si.upf
Y 88.91 Y.upf
Ge 72.64 Ge.upf
CELL_PARAMETERS angstrom
-1.8890 -3.3177 -1.8814
3.2476 -0.2982 -2.7349
4.6012 -6.0950 6.1284
ATOMIC_POSITIONS angstrom
Pt 2.1812 -0.8875 -0.6250
Si 1.9905 -5.5467 2.9684
Si 0.0000 0.0000 0.0000
Si 0.6793 -1.8079 -2.3081
Y 0.1858 -3.1561 0.5647
Pt 3.0993 -7.0154 4.4452
Si 3.2900 -2.3562 0.8518
Y 5.0947 -4.7468 3.2555
Ge 2.9799 -4.8554 0.7561
Pt 2.3006 -3.0475 3.0642
```

- Formation energy (no corrections): -9.124 eV/f.u.
- Final energy: -6.648 eV per atom

***

(9)
Computed, not measured: crystalline Dy2ZnGa4Ru3 at its relaxed geometry at the GGA-PBE level of DFT. Values from VASP.

Structure (Quantum ESPRESSO input):
```
&SYSTEM
  ibrav = 0, nat = 10, ntyp = 4
/
ATOMIC_SPECIES
Ga 69.72 Ga.upf
Ru 101.07 Ru.upf
Dy 162.50 Dy.upf
Zn 65.41 Zn.upf
CELL_PARAMETERS angstrom
-1.2490 1.2190 3.5591
3.2759 -1.4913 1.6605
5.3559 10.0322 -1.5564
ATOMIC_POSITIONS angstrom
Ga 2.8018 7.0274 0.7839
Ru 3.9729 9.2210 0.4436
Dy 5.7436 6.9446 -0.3628
Ga 3.5675 2.8686 0.2695
Dy 0.6257 2.9514 1.4162
Zn 3.6914 4.8799 1.8316
Ru 2.3964 0.6750 0.6098
Ga 1.0135 -0.1362 2.6098
Ga 0.0000 0.0000 0.0000
Ru 2.6780 5.0161 -0.7782
```

- E_form: -39.8 kJ/mol of atoms
- Final energy: -5.454 eV per atom

***

(10)
Computed, not measured: crystalline CrPBr2 at its relaxed geometry at the GGA-PBE level of DFT. Values from VASP.

Structure (Quantum ESPRESSO input):
```
&SYSTEM
  ibrav = 0, nat = 4, ntyp = 3
/
ATOMIC_SPECIES
Cr 52.00 Cr.upf
P 30.97 P.upf
Br 79.90 Br.upf
CELL_PARAMETERS angstrom
-3.2099 2.7479 -2.4298
-2.6109 0.5361 4.0810
4.7286 1.1823 -0.0334
ATOMIC_POSITIONS angstrom
Cr -2.9104 1.6420 0.8256
P -0.6959 2.7861 -0.8188
Br -0.3963 1.6802 2.4366
Br 0.0000 0.0000 0.0000
```

- Formation energy (no corrections): 2.970 eV/f.u.
- Relative energy among the computed polymorphs: 1.121 eV per atom
- Final energy: -3.852 eV per atom

***

(11)
Computed, not measured: crystalline Sm2CN2O2 at its relaxed geometry at the GGA-PBE level of DFT. Values from VASP.

Structure (Quantum ESPRESSO input):
```
&SYSTEM
  ibrav = 0, nat = 7, ntyp = 4
/
ATOMIC_SPECIES
O 16.00 O.upf
Sm 150.36 Sm.upf
C 12.01 C.upf
N 14.01 N.upf
CELL_PARAMETERS angstrom
-2.5896 -2.8494 -0.1726
1.7825 1.1809 -3.2067
6.0338 -5.5627 1.3056
ATOMIC_POSITIONS angstrom
O 5.7359 -5.1508 -1.0246
O -0.5091 -2.0804 -1.0491
Sm 1.4060 -1.1590 -1.9615
C 3.0169 -2.7814 0.6528
N 2.1187 -1.9533 0.4584
Sm 3.8208 -6.0722 -0.1122
N 3.9151 -3.6094 0.8471
```

- Formation energy (no corrections): -14.823 eV/f.u.
- Final energy: -8.579 eV per atom

***

(12)
Computed, not measured: crystalline Cr4P3 at its relaxed geometry at the GGA-PBE level of DFT. Values from VASP.

Structure (Quantum ESPRESSO input):
```
&SYSTEM
  ibrav = 0, nat = 7, ntyp = 2
/
ATOMIC_SPECIES
Cr 52.00 Cr.upf
P 30.97 P.upf
CELL_PARAMETERS angstrom
-3.8071 1.2497 -2.5230
1.7318 -4.3935 -0.3460
-2.5392 -1.2537 3.2107
ATOMIC_POSITIONS angstrom
Cr -3.2304 -1.2582 -0.1920
Cr -1.9182 -0.9471 2.4255
P -1.9036 0.6248 -1.2615
Cr -0.6210 -0.3066 0.7852
P 0.8659 -2.1967 -0.1730
Cr -1.3841 -3.1393 0.5337
P -1.0377 -1.5719 -1.4345
```

- E_form: 30.8 kJ/mol of atoms
- Final energy: -7.498 eV per atom

***

Among the records above, which one has the highest final energy? BaCa2Zn3

***

Please write out number 12 again, unchanged.
Computed, not measured: crystalline Cr4P3 at its relaxed geometry at the GGA-PBE level of DFT. Values from VASP.

Structure (Quantum ESPRESSO input):
```
&SYSTEM
  ibrav = 0, nat = 7, ntyp = 2
/
ATOMIC_SPECIES
Cr 52.00 Cr.upf
P 30.97 P.upf
CELL_PARAMETERS angstrom
-3.8071 1.2497 -2.5230
1.7318 -4.3935 -0.3460
-2.5392 -1.2537 3.2107
ATOMIC_POSITIONS angstrom
Cr -3.2304 -1.2582 -0.1920
Cr -1.9182 -0.9471 2.4255
P -1.9036 0.6248 -1.2615
Cr -0.6210 -0.3066 0.7852
P 0.8659 -2.1967 -0.1730
Cr -1.3841 -3.1393 0.5337
P -1.0377 -1.5719 -1.4345
```

- E_form: 30.8 kJ/mol of atoms
- Final energy: -7.498 eV per atom

***

Which of these has the highest final energy? BaCa2Zn3

***

final energy of number 2 (KRbO)? -3.213 eV per atom